Entry 1:
This record from the Alexandria database describes a PBEsol-optimized structure of SrIrAu2. The functional is SCAN.

- Calculated formation energy: 0.03 eV/atom
- Polymorph energy (0 for the lowest one): 51 kJ/mol of formula units
- E_tot: -57.887 eV/atom

a = 4.170 Å, b = 4.170 Å, c = 8.792 Å
α = 90.00°, β = 90.00°, γ = 90.00°
Space group I-4m2 (No. 119)
Unique sites:
1 Sr 0.000 0.000 0.000 x2
2 Ir 0.000 0.500 0.750 x2
3 Au 0.000 0.000 0.500 x2
4 Au 0.000 0.500 0.250 x2



Entry 2:
This record from the Alexandria database describes a PBEsol-optimized structure of SeBr2O. The functional is SCAN.

- Energy relative to the elements, uncorrected: 1.018 eV per atom
- E_tot: -15.289 eV/atom

a = 6.546 Å, b = 6.546 Å, c = 6.546 Å
α = 90.00°, β = 90.00°, γ = 90.00°
Space group Fm-3m (No. 225)
Unique sites:
1 Se 0.000 0.000 0.000 x4
2 Br 0.250 0.250 0.250 x8
3 O 0.000 0.000 0.500 x4



Entry 3:
This record from the Alexandria database describes a PBEsol-optimized structure of YBeTl. The functional is SCAN.

- Calculated formation energy: -0.33 eV/atom
- Polymorph energy (0 for the lowest one): 0 kJ/mol of formula units
- E_tot: -35.183 eV/atom

a = 4.3590 Å, b = 4.3590 Å, c = 3.7229 Å
α = 90.00°, β = 90.00°, γ = 120.00°
Space group P-6m2 (No. 187)
Unique sites:
1 Y 0.0000 0.0000 0.0000 x1
2 Be 0.3333 0.6667 0.5000 x1
3 Tl 0.6667 0.3333 0.5000 x1



Entry 4:
This record from the Alexandria database describes a PBEsol-optimized structure of Zr2CuHg. The functional is SCAN.

- Calculated formation energy: -0.23 eV/atom
- E_tot: -36.424 eV/atom

a = 3.040 Å, b = 3.040 Å, c = 8.032 Å
α = 90.00°, β = 90.00°, γ = 90.00°
Space group P4/mmm (No. 123)
Unique sites:
1 Zr 0.000 0.000 0.225 x2
2 Cu 0.500 0.500 0.000 x1
3 Hg 0.500 0.500 0.500 x1



Entry 5:
This record from the Alexandria database describes a PBEsol-optimized structure of LaMg2Se. The functional is SCAN.

- Energy relative to the elements, uncorrected: -0.684 eV per atom
- E_tot: -18.967 eV/atom

a = 4.205 Å, b = 4.393 Å, c = 5.366 Å
α = 90.00°, β = 90.00°, γ = 90.00°
Space group Pmmm (No. 47)
Unique sites:
1 La 0.000 0.000 0.000 x1
2 Mg 0.000 0.500 0.500 x1
3 Mg 0.500 0.000 0.500 x1
4 Se 0.500 0.500 0.000 x1



Entry 6:
This record from the Alexandria database describes a PBEsol-optimized structure of CoSeBr. The functional is SCAN.

- Energy relative to the elements, uncorrected: 0.250 eV per atom
- E_tot: -18.698 eV/atom

a = 2.974 Å, b = 2.974 Å, c = 12.556 Å
α = 90.00°, β = 90.00°, γ = 90.00°
Space group I4mm (No. 107)
Unique sites:
1 Co 0.000 0.000 0.000 x2
2 Se 0.000 0.000 0.595 x2
3 Br 0.000 0.000 0.346 x2



Entry 7:
This record from the Alexandria database describes a PBEsol-optimized structure of NaMnW2C. The functional is SCAN.

- Calculated formation energy: 3.41 eV/atom
- E_tot: -30.979 eV/atom

a = 4.579 Å, b = 4.579 Å, c = 3.766 Å
α = 90.00°, β = 90.00°, γ = 90.00°
Space group P4/mmm (No. 123)
Unique sites:
1 Na 0.000 0.000 0.000 x1
2 Mn 0.500 0.500 0.500 x1
3 W 0.000 0.500 0.000 x2
4 C 0.000 0.000 0.500 x1



Entry 8:
This record from the Alexandria database describes a PBEsol-optimized structure of CoMoW. The functional is SCAN.

- Calculated formation energy: 1.09 eV/atom
- E_tot: -39.538 eV/atom

a = 5.809 Å, b = 5.809 Å, c = 5.809 Å
α = 90.00°, β = 90.00°, γ = 90.00°
Space group F-43m (No. 216)
Unique sites:
1 Co 0.000 0.000 0.000 x4
2 Mo 0.000 0.000 0.500 x4
3 W 0.250 0.250 0.250 x4



Entry 9:
This record from the Alexandria database describes a PBEsol-optimized structure of Ba3MgOs. The functional is SCAN.

- Calculated formation energy: 1.46 eV/atom
- E_tot: -37.642 eV/atom

a = 6.219 Å, b = 6.219 Å, c = 6.219 Å
α = 90.00°, β = 90.00°, γ = 90.00°
Space group Pm-3m (No. 221)
Unique sites:
1 Ba 0.000 0.000 0.500 x3
2 Mg 0.000 0.000 0.000 x1
3 Os 0.500 0.500 0.500 x1



Entry 10:
This record from the Alexandria database describes a PBEsol-optimized structure of LiMoPt2. The functional is SCAN.

- Calculated formation energy: -0.45 eV/atom
- Polymorph energy (0 for the lowest one): 33 kJ/mol of formula units
- E_tot: -44.866 eV/atom

a = 2.718 Å, b = 3.829 Å, c = 5.426 Å
α = 90.00°, β = 90.00°, γ = 90.00°
Space group Pmmm (No. 47)
Unique sites:
1 Li 0.000 0.000 0.000 x1
2 Mo 0.000 0.000 0.500 x1
3 Pt 0.500 0.500 0.248 x2



Entry 11:
This record from the Alexandria database describes a PBEsol-optimized structure of RuAuCl2. The functional is SCAN.

- Energy relative to the elements, uncorrected: -0.002 eV per atom
- Polymorph energy (0 for the lowest one): 0 kJ/mol of formula units
- E_tot: -29.987 eV/atom

a = 2.868 Å, b = 4.765 Å, c = 11.604 Å
α = 90.00°, β = 90.00°, γ = 90.00°
Space group Immm (No. 71)
Unique sites:
1 Ru 0.000 0.000 0.000 x2
2 Au 0.000 0.000 0.500 x2
3 Cl 0.000 0.500 0.339 x4



Entry 12:
This record from the Alexandria database describes a PBEsol-optimized structure of FeSeCl2. The functional is SCAN.

- Energy relative to the elements, uncorrected: -0.140 eV per atom
- Polymorph energy (0 for the lowest one): 12 kJ/mol of formula units
- E_tot: -13.681 eV/atom

a = 2.931 Å, b = 5.799 Å, c = 9.788 Å
α = 90.00°, β = 90.00°, γ = 90.00°
Space group Cmmm (No. 65)
Unique sites:
1 Fe 0.000 0.000 0.000 x2
2 Se 0.000 0.000 0.500 x2
3 Cl 0.000 0.500 0.170 x4



Entry 13:
This record from the Alexandria database describes a PBEsol-optimized structure of SrHgRu2. The functional is SCAN.

- Calculated formation energy: 0.26 eV/atom
- E_tot: -39.765 eV/atom

a = 4.5489 Å, b = 4.5489 Å, c = 16.1961 Å
α = 90.00°, β = 90.00°, γ = 120.00°
Space group R-3m (No. 166, hexagonal axes)
Unique sites:
1 Sr 0.0000 0.0000 0.0000 x3
2 Hg 0.0000 0.0000 0.5000 x3
3 Ru 0.0000 0.0000 0.1780 x6



Entry 14:
This record from the Alexandria database describes a PBEsol-optimized structure of MgCuO3. The functional is SCAN.

- Energy relative to the elements, uncorrected: -0.476 eV per atom
- E_tot: -8.249 eV/atom

a = 3.824 Å, b = 3.824 Å, c = 3.824 Å
α = 90.00°, β = 90.00°, γ = 90.00°
Space group Pm-3m (No. 221)
Unique sites:
1 Mg 0.000 0.000 0.000 x1
2 Cu 0.500 0.500 0.500 x1
3 O 0.000 0.000 0.500 x3



Entry 15:
This record from the Alexandria database describes a PBEsol-optimized structure of NaCaTeN2. The functional is SCAN.

- Energy relative to the elements, uncorrected: 0.681 eV per atom
- E_tot: -13.262 eV/atom

a = 4.664 Å, b = 4.664 Å, c = 6.110 Å
α = 90.00°, β = 90.00°, γ = 90.00°
Space group P4/mmm (No. 123)
Unique sites:
1 Na 0.000 0.000 0.000 x1
2 Ca 0.500 0.500 0.500 x1
3 Te 0.500 0.500 0.000 x1
4 N 0.000 0.500 0.500 x2



Entry 16:
This record from the Alexandria database describes a PBEsol-optimized structure of Ca2Hg. The functional is SCAN.

- Calculated formation energy: -0.19 eV/atom
- E_tot: -29.359 eV/atom

a = 5.3110 Å, b = 5.3110 Å, c = 3.2580 Å
α = 90.00°, β = 90.00°, γ = 120.00°
Space group P6/mmm (No. 191)
Unique sites:
1 Ca 0.3333 0.6667 0.0000 x2
2 Hg 0.0000 0.0000 0.5000 x1



Entry 17:
This record from the Alexandria database describes a PBEsol-optimized structure of Na2CdSiIr. The functional is SCAN.

- Energy relative to the elements, uncorrected: 0.249 eV per atom
- E_tot: -23.743 eV/atom

a = 5.444 Å, b = 5.444 Å, c = 4.465 Å
α = 90.00°, β = 90.00°, γ = 90.00°
Space group P4/mmm (No. 123)
Unique sites:
1 Na 0.000 0.500 0.000 x2
2 Cd 0.000 0.000 0.500 x1
3 Si 0.500 0.500 0.500 x1
4 Ir 0.500 0.500 0.000 x1



Entry 18:
This record from the Alexandria database describes a PBEsol-optimized structure of MgHg7. The functional is SCAN.

- Calculated formation energy: -0.02 eV/atom
- E_tot: -60.282 eV/atom

a = 8.968 Å, b = 8.968 Å, c = 8.968 Å
α = 90.00°, β = 90.00°, γ = 90.00°
Space group Fm-3m (No. 225)
Unique sites:
1 Mg 0.000 0.000 0.000 x4
2 Hg 0.000 0.000 0.500 x4
3 Hg 0.000 0.250 0.250 x24



Entry 19:
This record from the Alexandria database describes a PBEsol-optimized structure of Ag4MoAs. The functional is SCAN.

- Calculated formation energy: 0.60 eV/atom
- E_tot: -29.493 eV/atom

a = 7.554 Å, b = 7.554 Å, c = 7.554 Å
α = 90.00°, β = 90.00°, γ = 90.00°
Space group F-43m (No. 216)
Unique sites:
1 Ag 0.125 0.125 0.125 x16
2 Mo 0.250 0.250 0.750 x4
3 As 0.000 0.000 0.500 x4



Entry 20:
This record from the Alexandria database describes a PBEsol-optimized structure of HfSi2Ir2. The functional is SCAN.

- Energy relative to the elements, uncorrected: -0.702 eV per atom
- E_tot: -45.682 eV/atom

a = 7.212 Å, b = 7.212 Å, c = 2.763 Å
α = 90.00°, β = 90.00°, γ = 90.00°
Space group P4/mbm (No. 127)
Unique sites:
1 Hf 0.000 0.000 0.000 x2
2 Si 0.148 0.352 0.000 x4
3 Ir 0.147 0.647 0.500 x4



| no. | calculated volume (A^3/atom) |
| --- | --- |
| 1 | 19.11 |
| 2 | 17.53 |
| 3 | 20.42 |
| 4 | 18.55 |
| 5 | 24.78 |
| 6 | 18.51 |
| 7 | 15.79 |
| 8 | 16.33 |
| 9 | 48.11 |
| 10 | 14.12 |
| 11 | 19.82 |
| 12 | 20.79 |
| 13 | 24.19 |
| 14 | 11.18 |
| 15 | 26.58 |
| 16 | 26.53 |
| 17 | 26.47 |
| 18 | 22.54 |
| 19 | 17.96 |
| 20 | 14.37 |